1.
DFT (PBE) results for crystalline CePm2Er3As6 at its relaxed geometry.

Geometry as extended XYZ:
```
12
Lattice="9.0443 -2.0807 0.0000 9.0443 2.0807 0.0000 -1.8887 0.0000 8.0916" Properties=species:S:1:pos:R:3 pbc="T T T"
Ce 0.0000 0.0000 0.0000
Pm 4.7618 0.0000 5.3795
Pm 11.4381 0.0000 2.7121
Er -0.9443 0.0000 4.0458
Er 5.6980 0.0000 1.3518
Er 10.5018 0.0000 6.7398
As 1.8602 0.0000 4.7671
As 2.8819 0.0000 0.6243
As 8.5271 0.0000 2.0423
As 7.6727 0.0000 6.0493
As 13.3180 0.0000 7.4673
As 14.3397 0.0000 3.3245
```

Output
**Theoretical density**: 7.53 g/cm³
**Formation energy**: -1.506 eV per atom

2.
DFT (PBE) results for crystalline Ce2Pr3ErAs6 at its relaxed geometry.

Geometry as extended XYZ:
```
12
Lattice="3.6679 -6.3524 0.0000 3.6679 6.3524 0.0000 -2.4461 0.0000 6.9311" Properties=species:S:1:pos:R:3 pbc="T T T"
Ce 3.6679 4.2370 0.0000
Ce 3.6679 -4.2370 0.0000
Pr -1.2231 0.0000 3.4655
Pr 2.4448 2.1247 3.4655
Pr 2.4448 -2.1247 3.4655
Er 3.6679 0.0000 0.0000
As 0.0078 2.1036 5.2755
As 1.2395 0.0000 1.6652
As 0.0078 -2.1036 5.2755
As 4.8818 2.1036 1.6555
As 3.6501 0.0000 5.2659
As 4.8818 -2.1036 1.6555
```

Output
**Theoretical density**: 6.79 g/cm³
**Formation energy**: -1.479 eV per atom

| no. | volume (Å³ per cell) | M_tot (μB per formula unit) | energy (eV per formula unit) |
| --- | --- | --- | --- |
| 1 | 304.5 | 0.5 | -75.1 |
| 2 | 323.0 | 1.1 | -76.4 |